! RbPtCl2 | Alexandria via LeMat-Bulk | PBE | optimized geometry; values from VASP
! Spin magnetization = 1.00 μB/f.u.
! E_tot = -2.85 eV per atom
! Space-group type = Fm-3m
! Calculated volume = 24.03 A^3/atom
&SYSTEM
  ibrav = 0, nat = 4, ntyp = 3
/
ATOMIC_SPECIES
Rb 85.47 Rb.upf
Pt 195.08 Pt.upf
Cl 35.45 Cl.upf
CELL_PARAMETERS angstrom
5.137 -0.122 -0.189
2.622 -2.989 3.259
2.410 -4.198 -1.734
ATOMIC_POSITIONS crystal
Rb 0.000 0.000 0.000
Pt 0.500 0.500 0.500
Cl 0.250 0.250 0.250
Cl 0.750 0.750 0.750